[1]
## UPa4Ga2 (PBE)

Data for crystalline UPa4Ga2 at its relaxed geometry.

a = 6.543 Å, b = 6.543 Å, c = 7.789 Å
α = 90.00°, β = 90.00°, γ = 90.00°
Space group I4/mmm (No. 139)
Asymmetric unit:
U (0.000, 0.000, 0.000)
Pa (0.250, 0.250, 0.250)
Ga (0.000, 0.500, 0.000)

Results
The energy comes out at -7.876 eV/atom. Its total magnetization is 0.000 μB per atom. The value obtained for the energy above the most stable polymorph in this dataset is 0.0 meV/atom. The formation enthalpy at 0 K is 28 meV/atom.



[2]
## LaCdSbAu (PBE)

Data for crystalline LaCdSbAu at its relaxed geometry.

a = 7.471 Å, b = 7.471 Å, c = 7.471 Å
α = 90.00°, β = 90.00°, γ = 90.00°
Space group F-43m (No. 216)
Asymmetric unit:
La (0.000, 0.000, 0.000)
Cd (0.000, 0.000, 0.500)
Sb (0.250, 0.250, 0.250)
Au (0.250, 0.250, 0.750)

Results
The energy comes out at -3.862 eV/atom. Its total magnetization is 0.000 μB per atom.



[3]
## La2HgS4 (PBE)

Data for crystalline La2HgS4 at its relaxed geometry.

a = 16.863 Å, b = 4.517 Å, c = 12.330 Å
α = 90.00°, β = 119.93°, γ = 90.00°
Space group C2/m (No. 12)
Asymmetric unit:
La (0.122, 0.000, 0.455)
La (0.163, 0.500, 0.797)
Hg (0.123, 0.500, 0.171)
S (0.037, 0.500, 0.274)
S (0.077, 0.000, 0.650)
S (0.204, 0.500, 0.062)
S (0.234, 0.500, 0.617)

Results
The energy comes out at -5.417 eV/atom. Its total magnetization is 0.000 μB per atom.